This record from the Alexandria database describes a relaxed structure of LiTl8Pb2. The functional is PBE-GGA.

E in eV/atom: -2.5863
Crystal system: tetragonal
Fermi-level density of states in states/eV/f.u.: 3.66
Excess energy over the best structure of this formula in the dataset in meV per atom: 0
ΔH_f (0 K) in kcal/mol of atoms: -0.4

a b c (Å): 4.9280 4.9280 13.4653
angles (deg): 90.00 90.00 90.00
Element x y z (fractional)
Li 0.0000 0.0000 0.0000
Tl 0.0000 0.5000 0.1287
Tl 0.0000 0.5000 0.5000
Tl 0.0000 0.5000 0.8713
Tl 0.5000 0.0000 0.1287
Tl 0.5000 0.0000 0.5000
Tl 0.5000 0.0000 0.8713
Tl 0.5000 0.5000 0.3155
Tl 0.5000 0.5000 0.6845
Pb 0.0000 0.0000 0.3059
Pb 0.0000 0.0000 0.6941



This record from the Alexandria database describes a relaxed structure of LiTl2Pb. The functional is PBE-GGA.

E in eV/atom: -2.6573
Crystal system: monoclinic
Fermi-level density of states in states/eV/f.u.: 2.00
Excess energy over the best structure of this formula in the dataset in meV per atom: 25
ΔH_f (0 K) in kcal/mol of atoms: -1.6

a b c (Å): 3.5739 4.6477 6.6413
angles (deg): 90.00 98.24 90.00
Element x y z (fractional)
Li 0.0000 0.0000 0.0000
Tl 0.4302 0.5000 0.2336
Tl 0.5698 0.5000 0.7664
Pb 0.0000 0.0000 0.5000



Copy entry 2 word for word.
This record from the Alexandria database describes a relaxed structure of LiTl2Pb. The functional is PBE-GGA.

E in eV/atom: -2.6573
Crystal system: monoclinic
Fermi-level density of states in states/eV/f.u.: 2.00
Excess energy over the best structure of this formula in the dataset in meV per atom: 25
ΔH_f (0 K) in kcal/mol of atoms: -1.6

a b c (Å): 3.5739 4.6477 6.6413
angles (deg): 90.00 98.24 90.00
Element x y z (fractional)
Li 0.0000 0.0000 0.0000
Tl 0.4302 0.5000 0.2336
Tl 0.5698 0.5000 0.7664
Pb 0.0000 0.0000 0.5000



- The lowest Fermi-level density of states belongs to which entry?
  LiTl2Pb



- Among the records above, which one has the lowest ΔH_f (0 K)?
  LiTl2Pb



- Fermi-level density of states of number 1 (LiTl8Pb2)?
  3.66 states/eV/f.u.